(1)
The following is a GGA-PBE calculation of a geometry-optimized Sm2BeAsPt6 structure, from Alexandria.

The structure belongs to space group Fm-3m (No. 225); the cell edges are 9.147, 9.147 and 9.147 Å and the angles 90.00°, 90.00° and 90.00°. The distinct sites, in fractional coordinates, are Sm at (0.250, 0.250, 0.250), Be at (0.000, 0.000, 0.000), As at (0.000, 0.000, 0.500) and Pt at (0.000, 0.000, 0.237).

The magnetization comes out at 0.0 μB per formula unit. The calculation puts the formation energy at -601 meV/atom. For the density of states at the Fermi level, the calculation gives 29.4 states/eV/cell.


(2)
The following is a GGA-PBE calculation of a geometry-optimized Rb2NaUSe4 structure, from Alexandria.

The structure belongs to space group P2/m (No. 10); the cell edges are 7.533, 4.337 and 8.244 Å and the angles 90.00°, 107.36° and 90.00°. The distinct sites, in fractional coordinates, are Rb at (0.000, 0.000, 0.000), Rb at (0.500, 0.500, 0.000), Na at (0.000, 0.500, 0.500), U at (0.500, 0.000, 0.500), Se at (0.268, 0.000, 0.693) and Se at (0.292, 0.500, 0.309).

The magnetization comes out at 1.0 μB per formula unit. As for the calculated total energy: -38.042 eV per cell. For the density of states at the Fermi level, the calculation gives 5.3 states/eV/cell.


(3)
The following is a GGA-PBE calculation of a geometry-optimized Te2OsNF structure, from Alexandria.

The structure belongs to space group P4/mmm (No. 123); the cell edges are 4.854, 4.854 and 3.667 Å and the angles 90.00°, 90.00° and 90.00°. The distinct sites, in fractional coordinates, are Te at (0.000, 0.500, 0.000), Os at (0.000, 0.000, 0.500), N at (0.500, 0.500, 0.500) and F at (0.500, 0.500, 0.000).

The magnetization comes out at 1.9 μB per formula unit. The calculation puts the energy above the most stable polymorph in this dataset at 1364.8 meV per atom. For the density of states at the Fermi level, the calculation gives 3.4 states/eV/cell.


(4)
The following is a GGA-PBE calculation of a geometry-optimized LiHfPO2 structure, from Alexandria.

The structure belongs to space group P4/mmm (No. 123); the cell edges are 4.053, 4.053 and 5.368 Å and the angles 90.00°, 90.00° and 90.00°. The distinct sites, in fractional coordinates, are Li at (0.000, 0.000, 0.000), Hf at (0.500, 0.500, 0.500), P at (0.500, 0.500, 0.000) and O at (0.000, 0.500, 0.500).

The magnetization comes out at 1.7 μB per formula unit. The calculation puts the energy above the most stable polymorph in this dataset at 0.0 meV per atom. For the density of states at the Fermi level, the calculation gives 2.1 states/eV/cell.


(5)
The following is a GGA-PBE calculation of a geometry-optimized Ba3SnRh3 structure, from Alexandria.

The structure belongs to space group Cmcm (No. 63); the cell edges are 4.539, 11.880 and 14.637 Å and the angles 90.00°, 90.00° and 90.00°. The distinct sites, in fractional coordinates, are Ba at (0.000, 0.005, 0.250), Ba at (0.000, 0.278, 0.609), Sn at (0.000, 0.000, 0.000), Rh at (0.000, 0.322, 0.250) and Rh at (0.000, 0.436, 0.086).

The magnetization comes out at 0.0 μB per formula unit. The calculation puts the formation energy at -353 meV/atom. For the density of states at the Fermi level, the calculation gives 17.4 states/eV/cell.


(6)
The following is a GGA-PBE calculation of a geometry-optimized Ce2PrSm3Dy6 structure, from Alexandria.

The structure belongs to space group C2/m (No. 12); the cell edges are 6.197, 10.735 and 11.780 Å and the angles 90.00°, 100.10° and 90.00°. The distinct sites, in fractional coordinates, are Ce at (0.000, 0.167, 0.000), Pr at (0.000, 0.500, 0.000), Sm at (0.000, 0.000, 0.500), Sm at (0.000, 0.334, 0.500), Dy at (0.247, 0.000, 0.248) and Dy at (0.249, 0.168, 0.752).

The magnetization comes out at 1.9 μB per formula unit. The calculation puts the formation energy at 48 meV/atom. For the density of states at the Fermi level, the calculation gives 42.7 states/eV/cell.


(7)
The following is a GGA-PBE calculation of a geometry-optimized V3Mo structure, from Alexandria.

The structure belongs to space group Cmcm (No. 63); the cell edges are 6.105, 8.579 and 4.295 Å and the angles 90.00°, 90.00° and 90.00°. The distinct sites, in fractional coordinates, are V at (0.000, 0.119, 0.250), V at (0.250, 0.125, 0.750) and Mo at (0.000, 0.371, 0.750).

The magnetization comes out at 0.0 μB per formula unit. The calculation puts the energy above the most stable polymorph in this dataset at 9.1 meV per atom. The calculation puts the formation energy at -69 meV/atom. For the density of states at the Fermi level, the calculation gives 27.3 states/eV/cell.


(8)
The following is a GGA-PBE calculation of a geometry-optimized ReSi2F structure, from Alexandria.

The structure belongs to space group I-42d (No. 122); the cell edges are 5.349, 5.349 and 10.332 Å and the angles 90.00°, 90.00° and 90.00°. The distinct sites, in fractional coordinates, are Re at (0.000, 0.000, 0.000), Si at (0.245, 0.250, 0.625) and F at (0.000, 0.000, 0.500).

The magnetization comes out at 0.0 μB per formula unit. The calculation puts the energy above the most stable polymorph in this dataset at 9.4 meV per atom. For the density of states at the Fermi level, the calculation gives 3.4 states/eV/cell.


(9)
The following is a GGA-PBE calculation of a geometry-optimized TiPd2Au5 structure, from Alexandria.

The structure belongs to space group Pbam (No. 55); the cell edges are 5.759, 11.606 and 4.057 Å and the angles 90.00°, 90.00° and 90.00°. The distinct sites, in fractional coordinates, are Ti at (0.000, 0.000, 0.000), Pd at (0.240, 0.118, 0.500), Au at (0.000, 0.500, 0.000), Au at (0.003, 0.244, 0.000) and Au at (0.250, 0.377, 0.500).

The magnetization comes out at 0.0 μB per formula unit. The calculation puts the formation energy at -261 meV/atom. For the density of states at the Fermi level, the calculation gives 6.7 states/eV/cell.


(10)
The following is a GGA-PBE calculation of a geometry-optimized La2Tm7Th2 structure, from Alexandria.

The structure belongs to space group C2/m (No. 12); the cell edges are 11.174, 11.442 and 6.128 Å and the angles 90.00°, 113.96° and 90.00°. The distinct sites, in fractional coordinates, are La at (0.000, 0.212, 0.000), Tm at (0.000, 0.000, 0.500), Tm at (0.171, 0.238, 0.666), Tm at (0.249, 0.000, 0.074) and Th at (0.098, 0.500, 0.319).

The magnetization comes out at 0.0 μB per formula unit. The calculation puts the formation energy at 188 meV/atom. For the density of states at the Fermi level, the calculation gives 36.0 states/eV/cell.


(11)
The following is a GGA-PBE calculation of a geometry-optimized ZrMoPt structure, from Alexandria.

The structure belongs to space group Amm2 (No. 38); the cell edges are 4.015, 4.097 and 12.828 Å and the angles 90.00°, 90.00° and 90.00°. The distinct sites, in fractional coordinates, are Zr at (0.000, 0.000, 0.000), Zr at (0.000, 0.000, 0.310), Mo at (0.500, 0.000, 0.161), Mo at (0.500, 0.000, 0.494), Pt at (0.000, 0.000, 0.658) and Pt at (0.500, 0.000, 0.821).

The magnetization comes out at 0.0 μB per formula unit. The calculation puts the energy above the most stable polymorph in this dataset at 149.1 meV per atom. The calculation puts the formation energy at -373 meV/atom. For the density of states at the Fermi level, the calculation gives 12.0 states/eV/cell.


(12)
The following is a GGA-PBE calculation of a geometry-optimized LiTl structure, from Alexandria.

The structure belongs to space group P4_2/mnm (No. 136); the cell edges are 5.663, 5.663 and 5.778 Å and the angles 90.00°, 90.00° and 90.00°. The distinct sites, in fractional coordinates, are Li at (0.187, 0.187, 0.000) and Tl at (0.194, 0.194, 0.500).

The magnetization comes out at 0.0 μB per formula unit. The calculation puts the formation energy at -91 meV/atom. For the density of states at the Fermi level, the calculation gives 2.3 states/eV/cell.


(13)
The following is a GGA-PBE calculation of a geometry-optimized SrEuGaPb structure, from Alexandria.

The structure belongs to space group F-43m (No. 216); the cell edges are 7.942, 7.942 and 7.942 Å and the angles 90.00°, 90.00° and 90.00°. The distinct sites, in fractional coordinates, are Sr at (0.000, 0.000, 0.000), Eu at (0.000, 0.000, 0.500), Ga at (0.250, 0.250, 0.250) and Pb at (0.250, 0.250, 0.750).

The magnetization comes out at 7.2 μB per formula unit. The calculation puts the formation energy at -449 meV/atom. For the density of states at the Fermi level, the calculation gives 26.0 states/eV/cell.


(14)
The following is a GGA-PBE calculation of a geometry-optimized MgCu2Si structure, from Alexandria.

The structure belongs to space group P4mm (No. 99); the cell edges are 3.195, 3.195 and 5.651 Å and the angles 90.00°, 90.00° and 90.00°. The distinct sites, in fractional coordinates, are Mg at (0.000, 0.000, 0.000), Cu at (0.000, 0.000, 0.506), Cu at (0.500, 0.500, 0.737) and Si at (0.500, 0.500, 0.307).

The magnetization comes out at 0.0 μB per formula unit. As for the calculated total energy: -15.166 eV per cell. For the density of states at the Fermi level, the calculation gives 0.6 states/eV/cell.


(15)
The following is a GGA-PBE calculation of a geometry-optimized Sr2SiGe3 structure, from Alexandria.

The structure belongs to space group Fmmm (No. 69); the cell edges are 9.036, 9.128 and 14.957 Å and the angles 90.00°, 90.00° and 90.00°. The distinct sites, in fractional coordinates, are Sr at (0.245, 0.000, 0.000), Sr at (0.250, 0.250, 0.250), Si at (0.000, 0.000, 0.333), Ge at (0.000, 0.000, 0.169) and Ge at (0.000, 0.238, 0.413).

The magnetization comes out at 0.0 μB per formula unit. As for the calculated total energy: -200.751 eV per cell. For the density of states at the Fermi level, the calculation gives 19.3 states/eV/cell.


(16)
The following is a GGA-PBE calculation of a geometry-optimized La3Ge3Cl2 structure, from Alexandria.

The structure belongs to space group C2/m (No. 12); the cell edges are 18.204, 4.325 and 10.856 Å and the angles 90.00°, 98.24° and 90.00°. The distinct sites, in fractional coordinates, are La at (0.032, 0.000, 0.332), La at (0.117, 0.000, 0.991), La at (0.184, 0.000, 0.648), Ge at (0.025, 0.500, 0.117), Ge at (0.070, 0.500, 0.545), Ge at (0.096, 0.500, 0.782), Cl at (0.201, 0.000, 0.375) and Cl at (0.226, 0.500, 0.108).

The magnetization comes out at 0.0 μB per formula unit. As for the calculated total energy: -173.632 eV per cell. For the density of states at the Fermi level, the calculation gives 10.0 states/eV/cell.


(17)
The following is a GGA-PBE calculation of a geometry-optimized AlSi2Ir structure, from Alexandria.

The structure belongs to space group Cm (No. 8); the cell edges are 8.569, 2.906 and 4.526 Å and the angles 90.00°, 97.88° and 90.00°. The distinct sites, in fractional coordinates, are Al at (0.000, 0.000, 0.000), Si at (0.017, 0.500, 0.499), Si at (0.259, 0.500, 0.255) and Ir at (0.255, 0.000, 0.740).

The magnetization comes out at 0.0 μB per formula unit. The calculation puts the energy above the most stable polymorph in this dataset at 31.5 meV per atom. For the density of states at the Fermi level, the calculation gives 2.2 states/eV/cell.


(18)
The following is a GGA-PBE calculation of a geometry-optimized Ac2B2O6F structure, from Alexandria.

The structure belongs to space group P-1 (No. 2); the cell edges are 5.326, 5.942 and 6.517 Å and the angles 85.74°, 68.03° and 74.05°. The distinct sites, in fractional coordinates, are Ac at (0.023, 0.264, 0.256), B at (0.432, 0.651, 0.271), O at (0.285, 0.877, 0.349), O at (0.301, 0.405, 0.885), O at (0.305, 0.475, 0.370) and F at (0.000, 0.000, 0.000).

The magnetization comes out at 1.0 μB per formula unit. As for the calculated total energy: -85.299 eV per cell. For the density of states at the Fermi level, the calculation gives 4.4 states/eV/cell.


(19)
The following is a GGA-PBE calculation of a geometry-optimized Dy12Ho7Th structure, from Alexandria.

The structure belongs to space group R-3 (No. 148, hexagonal axes); the cell edges are 12.1591, 12.1591 and 15.2128 Å and the angles 90.00°, 90.00° and 120.00°. The distinct sites, in fractional coordinates, are Dy at (0.0141, 0.4442, 0.2043), Dy at (0.0572, 0.5870, 0.5888), Ho at (0.0000, 0.0000, 0.0000), Ho at (0.0406, 0.1853, 0.3050) and Th at (0.0000, 0.0000, 0.5000).

The magnetization comes out at 0.0 μB per formula unit. The calculation puts the energy above the most stable polymorph in this dataset at 0.0 meV per atom. The calculation puts the formation energy at 241 meV/atom. For the density of states at the Fermi level, the calculation gives 118.2 states/eV/cell.


(20)
The following is a GGA-PBE calculation of a geometry-optimized Ca2HgSb structure, from Alexandria.

The structure belongs to space group Imm2 (No. 44); the cell edges are 4.357, 4.664 and 11.461 Å and the angles 90.00°, 90.00° and 90.00°. The distinct sites, in fractional coordinates, are Ca at (0.000, 0.000, 0.000), Ca at (0.000, 0.500, 0.241), Hg at (0.000, 0.500, 0.770) and Sb at (0.000, 0.000, 0.478).

The magnetization comes out at 0.0 μB per formula unit. The calculation puts the energy above the most stable polymorph in this dataset at 153.4 meV per atom. For the density of states at the Fermi level, the calculation gives 3.2 states/eV/cell.